Hf3BeCu after structural relaxation, computed with GGA-PBE.

Distance to the lowest polymorph of the same formula: 0.0 kJ per mole of atoms
Final energy: -35.22 eV per cell

Geometry as CIF:
```
data_Hf3BeCu
_chemical_formula_sum 'Hf3 Be1 Cu1'
_cell_length_a 4.605
_cell_length_b 4.605
_cell_length_c 4.605
_cell_angle_alpha 90.00
_cell_angle_beta 90.00
_cell_angle_gamma 90.00
_symmetry_space_group_name_H-M 'P 1'
_symmetry_Int_Tables_number 1
loop_
_symmetry_equiv_pos_as_xyz
'x,y,z'
loop_
_atom_site_label
_atom_site_fract_x
_atom_site_fract_y
_atom_site_fract_z
Hf1 0.000 0.000 0.500
Hf2 0.000 0.500 0.000
Hf3 0.500 0.000 0.000
Be1 0.000 0.000 0.000
Cu1 0.500 0.500 0.500
```